The following is a DFT calculation (PBE) of crystalline HoAg2SbS4 at its relaxed geometry.

Cell lengths 3.978, 6.677, 6.957 Å; angles 68.70, 90.00, 90.00 degrees
Fractional coordinates of all 8 atoms:
Ho (0.000, 0.500, 0.500)
S (0.000, 0.746, 0.744)
S (0.000, 0.254, 0.256)
S (0.500, 0.261, 0.750)
S (0.500, 0.739, 0.250)
Sb (0.500, 0.500, 0.000)
Ag (0.500, 0.000, 0.500)
Ag (0.000, 0.000, 0.000)

Values from the calculation:
For the raw formation energy, the calculation gives -709 meV/atom. The density of states at the Fermi level comes out at 0.006 states/eV/atom.